1:
This record from Alexandria describes crystalline LaDy2Mg at its relaxed geometry. The functional is PBE-GGA.

Cell and atoms, written as CIF:
```
data_LaDy2Mg
_space_group_name_H-M_alt 'P 1'
_space_group_IT_number 1
_cell_length_a 3.559
_cell_length_b 3.559
_cell_length_c 11.573
_cell_angle_alpha 81.12
_cell_angle_beta 81.12
_cell_angle_gamma 59.91
loop_
_space_group_symop_operation_xyz
'x,y,z'
loop_
_atom_site_label
_atom_site_fract_x
_atom_site_fract_y
_atom_site_fract_z
Dy1 0.087 0.087 0.740
Mg1 0.500 0.500 0.500
La1 0.667 0.667 0.999
Dy2 0.247 0.247 0.261
```

Results
Its density of states at the Fermi level is 1.50 states/eV per atom. As for the crystal system: trigonal. The symmetry is R3m.

***

2:
This record from Alexandria describes crystalline LaDy2Mg at its relaxed geometry. The functional is PBE-GGA.

Cell and atoms, written as CIF:
```
data_LaDy2Mg
_space_group_name_H-M_alt 'P 1'
_space_group_IT_number 1
_cell_length_a 3.831
_cell_length_b 5.656
_cell_length_c 6.709
_cell_angle_alpha 114.99
_cell_angle_beta 106.59
_cell_angle_gamma 90.00
loop_
_space_group_symop_operation_xyz
'x,y,z'
loop_
_atom_site_label
_atom_site_fract_x
_atom_site_fract_y
_atom_site_fract_z
Mg1 0.500 0.000 0.000
Dy1 0.772 0.773 0.545
La1 0.000 0.500 0.000
Dy2 0.228 0.227 0.455
```

Results
Its density of states at the Fermi level is 1.29 states/eV per atom. As for the crystal system: monoclinic. The symmetry is C2/m.

***

3:
This record from Alexandria describes crystalline LaDy2Mg at its relaxed geometry. The functional is PBE-GGA.

Cell and atoms, written as CIF:
```
data_LaDy2Mg
_space_group_name_H-M_alt 'P 1'
_space_group_IT_number 1
_cell_length_a 3.427
_cell_length_b 3.427
_cell_length_c 12.369
_cell_angle_alpha 82.04
_cell_angle_beta 82.04
_cell_angle_gamma 60.00
loop_
_space_group_symop_operation_xyz
'x,y,z'
loop_
_atom_site_label
_atom_site_fract_x
_atom_site_fract_y
_atom_site_fract_z
La1 0.000 0.000 0.000
Mg1 0.500 0.500 0.500
Dy1 0.907 0.907 0.280
Dy2 0.093 0.093 0.720
```

Results
Its density of states at the Fermi level is 1.41 states/eV per atom. As for the crystal system: trigonal. The symmetry is R-3m.

***

4:
This record from Alexandria describes crystalline LaDy2Mg at its relaxed geometry. The functional is PBE-GGA.

Cell and atoms, written as CIF:
```
data_LaDy2Mg
_space_group_name_H-M_alt 'P 1'
_space_group_IT_number 1
_cell_length_a 5.588
_cell_length_b 5.588
_cell_length_c 5.588
_cell_angle_alpha 60.00
_cell_angle_beta 60.00
_cell_angle_gamma 60.00
loop_
_space_group_symop_operation_xyz
'x,y,z'
loop_
_atom_site_label
_atom_site_fract_x
_atom_site_fract_y
_atom_site_fract_z
Mg1 0.000 0.000 0.000
Dy1 0.250 0.250 0.250
La1 0.500 0.500 0.500
Dy2 0.750 0.750 0.750
```

Results
Its density of states at the Fermi level is 1.75 states/eV per atom. As for the crystal system: cubic. The symmetry is Fm-3m.

***

Which one is most stable, and which one is least stable? 2 is the most stable of them, while 3 is the least stable.

***

1:
This record from Alexandria describes crystalline La2DyMg at its relaxed geometry. The functional is PBE-GGA.

Cell and atoms, written as CIF:
```
data_La2DyMg
_space_group_name_H-M_alt 'P 1'
_space_group_IT_number 1
_cell_length_a 3.620
_cell_length_b 3.620
_cell_length_c 11.831
_cell_angle_alpha 81.20
_cell_angle_beta 81.20
_cell_angle_gamma 60.00
loop_
_space_group_symop_operation_xyz
'x,y,z'
loop_
_atom_site_label
_atom_site_fract_x
_atom_site_fract_y
_atom_site_fract_z
La1 0.082 0.082 0.754
Dy1 0.500 0.500 0.501
La2 0.251 0.251 0.246
Mg1 0.667 0.667 0.999
```

Results
Its density of states at the Fermi level is 1.39 states/eV per atom. As for the crystal system: trigonal. The symmetry is R3m.

***

2:
This record from Alexandria describes crystalline La2DyMg at its relaxed geometry. The functional is PBE-GGA.

Cell and atoms, written as CIF:
```
data_La2DyMg
_space_group_name_H-M_alt 'P 1'
_space_group_IT_number 1
_cell_length_a 3.529
_cell_length_b 3.529
_cell_length_c 12.889
_cell_angle_alpha 82.13
_cell_angle_beta 82.13
_cell_angle_gamma 60.00
loop_
_space_group_symop_operation_xyz
'x,y,z'
loop_
_atom_site_label
_atom_site_fract_x
_atom_site_fract_y
_atom_site_fract_z
Mg1 0.000 0.000 0.000
Dy1 0.500 0.500 0.500
La1 0.090 0.090 0.731
La2 0.910 0.910 0.269
```

Results
Its density of states at the Fermi level is 1.28 states/eV per atom. As for the crystal system: trigonal. The symmetry is R-3m.

***

Which one is most stable, and which one is least stable? 1 is the most stable of them, while 2 is the least stable.

***

1:
This record from Alexandria describes crystalline La2DyMg at its relaxed geometry. The functional is PBE-GGA.

Cell and atoms, written as CIF:
```
data_La2DyMg
_space_group_name_H-M_alt 'P 1'
_space_group_IT_number 1
_cell_length_a 5.695
_cell_length_b 5.695
_cell_length_c 5.695
_cell_angle_alpha 60.00
_cell_angle_beta 60.00
_cell_angle_gamma 60.00
loop_
_space_group_symop_operation_xyz
'x,y,z'
loop_
_atom_site_label
_atom_site_fract_x
_atom_site_fract_y
_atom_site_fract_z
La1 0.750 0.750 0.750
La2 0.250 0.250 0.250
Mg1 0.500 0.500 0.500
Dy1 0.000 0.000 0.000
```

Results
Its density of states at the Fermi level is 1.19 states/eV per atom. As for the crystal system: cubic. The symmetry is Fm-3m.

***

2:
This record from Alexandria describes crystalline La2DyMg at its relaxed geometry. The functional is PBE-GGA.

Cell and atoms, written as CIF:
```
data_La2DyMg
_space_group_name_H-M_alt 'P 1'
_space_group_IT_number 1
_cell_length_a 5.329
_cell_length_b 5.329
_cell_length_c 9.865
_cell_angle_alpha 105.71
_cell_angle_beta 105.71
_cell_angle_gamma 89.99
loop_
_space_group_symop_operation_xyz
'x,y,z'
loop_
_atom_site_label
_atom_site_fract_x
_atom_site_fract_y
_atom_site_fract_z
La1 0.135 0.135 0.771
La2 0.500 0.000 0.500
Dy1 0.360 0.360 0.220
Mg1 0.250 0.750 0.000
La3 0.865 0.865 0.229
Dy2 0.640 0.640 0.780
Mg2 0.750 0.250 0.000
La4 0.000 0.500 0.500
```

Results
Its density of states at the Fermi level is 1.07 states/eV per atom. As for the crystal system: tetragonal. The symmetry is I4/mmm.

***

Which one is most stable, and which one is least stable? 2 is the most stable of them, while 1 is the least stable.